VASP calculation (PBE) on TbSmCdPt after structural relaxation.

Cell lengths 5.156, 5.156, 5.156 Å; angles 60.00, 60.00, 60.00 degrees
Element x y z (fractional)
Tb  0.500  0.500  0.500
Sm  0.000  0.000  0.000
Pt  0.750  0.750  0.750
Cd  0.250  0.250  0.250

Energy of formation = -2.7 eV/f.u.
Space group = F-43m
D(E_F) = 2.78 states/eV per cell
VASP energy = -4.762 eV/atom